1.
DFT (PBE) results for TaZn3Se after structural relaxation.

* formation energy (no corrections): 1146.0 meV per atom
* uncorrected energy: -2.686 eV per atom
* offset from the most stable computed form: 0.0000 eV per atom
* space-group type: Pm-3m

Structure (CIF):
```
data_TaZn3Se
_chemical_formula_sum 'Ta1 Zn3 Se1'
_space_group_name_H-M_alt 'P 1'
_space_group_IT_number 1
_cell_length_a 5.082
_cell_length_b 5.082
_cell_length_c 5.082
_cell_angle_alpha 90.00
_cell_angle_beta 90.00
_cell_angle_gamma 90.00
loop_
_space_group_symop_operation_xyz
'x,y,z'
loop_
_atom_site_label
_atom_site_fract_x
_atom_site_fract_y
_atom_site_fract_z
Ta1 0.000 0.000 0.000
Zn1 0.000 0.000 0.500
Zn2 0.000 0.500 0.000
Zn3 0.500 0.000 0.000
Se1 0.500 0.500 0.500
```

2.
DFT (PBE) results for TaZnSe2 after structural relaxation.

* formation energy (no corrections): 541.5 meV per atom
* uncorrected energy: -4.482 eV per atom
* space-group type: F-43m

Structure (CIF):
```
data_TaZnSe2
_chemical_formula_sum 'Ta1 Zn1 Se2'
_space_group_name_H-M_alt 'P 1'
_space_group_IT_number 1
_cell_length_a 4.694
_cell_length_b 4.694
_cell_length_c 4.694
_cell_angle_alpha 60.00
_cell_angle_beta 60.00
_cell_angle_gamma 60.00
loop_
_space_group_symop_operation_xyz
'x,y,z'
loop_
_atom_site_label
_atom_site_fract_x
_atom_site_fract_y
_atom_site_fract_z
Ta1 0.000 0.000 0.000
Zn1 0.250 0.250 0.250
Se1 0.500 0.500 0.500
Se2 0.750 0.750 0.750
```

3.
DFT (PBE) results for TaZnSe2 after structural relaxation.

* formation energy (no corrections): -405.4 meV per atom
* uncorrected energy: -5.429 eV per atom
* space-group type: R-3m

Structure (CIF):
```
data_TaZnSe2
_chemical_formula_sum 'Ta1 Zn1 Se2'
_space_group_name_H-M_alt 'P 1'
_space_group_IT_number 1
_cell_length_a 9.005
_cell_length_b 9.005
_cell_length_c 9.005
_cell_angle_alpha 22.15
_cell_angle_beta 22.15
_cell_angle_gamma 22.15
loop_
_space_group_symop_operation_xyz
'x,y,z'
loop_
_atom_site_label
_atom_site_fract_x
_atom_site_fract_y
_atom_site_fract_z
Ta1 0.000 0.000 0.000
Zn1 0.500 0.500 0.500
Se1 0.269 0.269 0.269
Se2 0.731 0.731 0.731
```

4.
DFT (PBE) results for TaZnSe3 after structural relaxation.

* formation energy (no corrections): -61.6 meV per atom
* uncorrected energy: -4.778 eV per atom
* offset from the most stable computed form: 0.0000 eV per atom
* space-group type: Pm-3m

Structure (CIF):
```
data_TaZnSe3
_chemical_formula_sum 'Ta1 Zn1 Se3'
_space_group_name_H-M_alt 'P 1'
_space_group_IT_number 1
_cell_length_a 5.051
_cell_length_b 5.051
_cell_length_c 5.051
_cell_angle_alpha 90.00
_cell_angle_beta 90.00
_cell_angle_gamma 90.00
loop_
_space_group_symop_operation_xyz
'x,y,z'
loop_
_atom_site_label
_atom_site_fract_x
_atom_site_fract_y
_atom_site_fract_z
Ta1 0.000 0.000 0.000
Zn1 0.500 0.500 0.500
Se1 0.000 0.000 0.500
Se2 0.000 0.500 0.000
Se3 0.500 0.000 0.000
```

5.
DFT (PBE) results for TaZnSe2 after structural relaxation.

* formation energy (no corrections): -33.9 meV per atom
* uncorrected energy: -5.058 eV per atom
* space-group type: Cmm2

Structure (CIF):
```
data_TaZnSe2
_chemical_formula_sum 'Ta1 Zn1 Se2'
_space_group_name_H-M_alt 'P 1'
_space_group_IT_number 1
_cell_length_a 3.055
_cell_length_b 3.055
_cell_length_c 9.688
_cell_angle_alpha 90.00
_cell_angle_beta 90.00
_cell_angle_gamma 109.35
loop_
_space_group_symop_operation_xyz
'x,y,z'
loop_
_atom_site_label
_atom_site_fract_x
_atom_site_fract_y
_atom_site_fract_z
Ta1 0.000 0.000 0.000
Zn1 0.500 0.500 0.219
Se1 0.000 0.000 0.406
Se2 0.500 0.500 0.806
```

6.
DFT (PBE) results for TaZnSe3 after structural relaxation.

* formation energy (no corrections): 843.2 meV per atom
* uncorrected energy: -3.873 eV per atom
* offset from the most stable computed form: 0.9048 eV per atom
* space-group type: Pm-3m

Structure (CIF):
```
data_TaZnSe3
_chemical_formula_sum 'Ta1 Zn1 Se3'
_space_group_name_H-M_alt 'P 1'
_space_group_IT_number 1
_cell_length_a 4.767
_cell_length_b 4.767
_cell_length_c 4.767
_cell_angle_alpha 90.00
_cell_angle_beta 90.00
_cell_angle_gamma 90.00
loop_
_space_group_symop_operation_xyz
'x,y,z'
loop_
_atom_site_label
_atom_site_fract_x
_atom_site_fract_y
_atom_site_fract_z
Ta1 0.000 0.000 0.000
Zn1 0.500 0.500 0.500
Se1 0.000 0.500 0.500
Se2 0.500 0.000 0.500
Se3 0.500 0.500 0.000
```

7.
DFT (PBE) results for TaZnSe2 after structural relaxation.

* formation energy (no corrections): 217.8 meV per atom
* uncorrected energy: -4.806 eV per atom
* space-group type: R-3m

Structure (CIF):
```
data_TaZnSe2
_chemical_formula_sum 'Ta1 Zn1 Se2'
_space_group_name_H-M_alt 'P 1'
_space_group_IT_number 1
_cell_length_a 8.323
_cell_length_b 8.323
_cell_length_c 8.323
_cell_angle_alpha 24.53
_cell_angle_beta 24.53
_cell_angle_gamma 24.53
loop_
_space_group_symop_operation_xyz
'x,y,z'
loop_
_atom_site_label
_atom_site_fract_x
_atom_site_fract_y
_atom_site_fract_z
Ta1 0.000 0.000 0.000
Zn1 0.500 0.500 0.500
Se1 0.102 0.102 0.102
Se2 0.898 0.898 0.898
```

8.
DFT (PBE) results for TaZn3Se after structural relaxation.

* formation energy (no corrections): 1165.4 meV per atom
* uncorrected energy: -2.666 eV per atom
* offset from the most stable computed form: 0.0194 eV per atom
* space-group type: Pm-3m

Structure (CIF):
```
data_TaZn3Se
_chemical_formula_sum 'Ta1 Zn3 Se1'
_space_group_name_H-M_alt 'P 1'
_space_group_IT_number 1
_cell_length_a 4.760
_cell_length_b 4.760
_cell_length_c 4.760
_cell_angle_alpha 90.00
_cell_angle_beta 90.00
_cell_angle_gamma 90.00
loop_
_space_group_symop_operation_xyz
'x,y,z'
loop_
_atom_site_label
_atom_site_fract_x
_atom_site_fract_y
_atom_site_fract_z
Ta1 0.000 0.000 0.000
Zn1 0.000 0.500 0.500
Zn2 0.500 0.000 0.500
Zn3 0.500 0.500 0.000
Se1 0.500 0.500 0.500
```

9.
DFT (PBE) results for TaZn4Se after structural relaxation.

* formation energy (no corrections): 299.4 meV per atom
* uncorrected energy: -3.106 eV per atom
* space-group type: F-43m

Structure (CIF):
```
data_TaZn4Se
_chemical_formula_sum 'Ta1 Zn4 Se1'
_space_group_name_H-M_alt 'P 1'
_space_group_IT_number 1
_cell_length_a 5.147
_cell_length_b 5.147
_cell_length_c 5.147
_cell_angle_alpha 60.00
_cell_angle_beta 60.00
_cell_angle_gamma 60.00
loop_
_space_group_symop_operation_xyz
'x,y,z'
loop_
_atom_site_label
_atom_site_fract_x
_atom_site_fract_y
_atom_site_fract_z
Ta1 0.000 0.000 0.000
Zn1 0.121 0.626 0.626
Zn2 0.626 0.121 0.626
Zn3 0.626 0.626 0.121
Zn4 0.626 0.626 0.626
Se1 0.250 0.250 0.250
```

10.
DFT (PBE) results for Ta4ZnSe after structural relaxation.

* formation energy (no corrections): 619.8 meV per atom
* uncorrected energy: -8.075 eV per atom
* space-group type: F-43m

Structure (CIF):
```
data_Ta4ZnSe
_chemical_formula_sum 'Ta4 Zn1 Se1'
_space_group_name_H-M_alt 'P 1'
_space_group_IT_number 1
_cell_length_a 5.504
_cell_length_b 5.504
_cell_length_c 5.504
_cell_angle_alpha 60.00
_cell_angle_beta 60.00
_cell_angle_gamma 60.00
loop_
_space_group_symop_operation_xyz
'x,y,z'
loop_
_atom_site_label
_atom_site_fract_x
_atom_site_fract_y
_atom_site_fract_z
Ta1 0.123 0.123 0.123
Ta2 0.123 0.123 0.630
Ta3 0.123 0.630 0.123
Ta4 0.630 0.123 0.123
Zn1 0.750 0.750 0.750
Se1 0.500 0.500 0.500
```

11.
DFT (PBE) results for ZrTa2Se6 after structural relaxation.

* formation energy (no corrections): -959.1 meV per atom
* uncorrected energy: -6.866 eV per atom
* offset from the most stable computed form: 0.0000 eV per atom
* space-group type: C2/m

Structure (CIF):
```
data_ZrTa2Se6
_chemical_formula_sum 'Zr1 Ta2 Se6'
_space_group_name_H-M_alt 'P 1'
_space_group_IT_number 1
_cell_length_a 7.598
_cell_length_b 7.598
_cell_length_c 9.228
_cell_angle_alpha 111.88
_cell_angle_beta 111.88
_cell_angle_gamma 27.28
loop_
_space_group_symop_operation_xyz
'x,y,z'
loop_
_atom_site_label
_atom_site_fract_x
_atom_site_fract_y
_atom_site_fract_z
Zr1 0.000 0.000 0.000
Ta1 0.331 0.331 0.663
Ta2 0.669 0.669 0.337
Se1 0.033 0.033 0.310
Se2 0.304 0.304 0.366
Se3 0.357 0.357 0.960
Se4 0.643 0.643 0.040
Se5 0.696 0.696 0.634
Se6 0.967 0.967 0.690
```

12.
DFT (PBE) results for Zr2TaSe after structural relaxation.

* formation energy (no corrections): -385.2 meV per atom
* uncorrected energy: -8.494 eV per atom
* space-group type: Amm2

Structure (CIF):
```
data_Zr2TaSe
_chemical_formula_sum 'Zr2 Ta1 Se1'
_space_group_name_H-M_alt 'P 1'
_space_group_IT_number 1
_cell_length_a 4.627
_cell_length_b 5.372
_cell_length_c 5.372
_cell_angle_alpha 37.35
_cell_angle_beta 90.00
_cell_angle_gamma 90.00
loop_
_space_group_symop_operation_xyz
'x,y,z'
loop_
_atom_site_label
_atom_site_fract_x
_atom_site_fract_y
_atom_site_fract_z
Zr1 0.000 0.000 0.000
Zr2 0.500 0.286 0.286
Ta1 0.000 0.734 0.734
Se1 0.500 0.563 0.563
```

13.
DFT (PBE) results for Zr2TaSe after structural relaxation.

* formation energy (no corrections): -254.8 meV per atom
* uncorrected energy: -8.363 eV per atom
* space-group type: R3m

Structure (CIF):
```
data_Zr2TaSe
_chemical_formula_sum 'Zr2 Ta1 Se1'
_space_group_name_H-M_alt 'P 1'
_space_group_IT_number 1
_cell_length_a 8.996
_cell_length_b 8.996
_cell_length_c 8.996
_cell_angle_alpha 21.27
_cell_angle_beta 21.27
_cell_angle_gamma 21.27
loop_
_space_group_symop_operation_xyz
'x,y,z'
loop_
_atom_site_label
_atom_site_fract_x
_atom_site_fract_y
_atom_site_fract_z
Zr1 0.000 0.000 0.000
Zr2 0.239 0.239 0.239
Ta1 0.482 0.482 0.482
Se1 0.747 0.747 0.747
```

14.
DFT (PBE) results for Zr2TaSe after structural relaxation.

* formation energy (no corrections): -157.9 meV per atom
* uncorrected energy: -8.266 eV per atom
* space-group type: C2/m

Structure (CIF):
```
data_Zr2TaSe
_chemical_formula_sum 'Zr2 Ta1 Se1'
_space_group_name_H-M_alt 'P 1'
_space_group_IT_number 1
_cell_length_a 5.087
_cell_length_b 5.087
_cell_length_c 5.013
_cell_angle_alpha 105.38
_cell_angle_beta 105.38
_cell_angle_gamma 39.93
loop_
_space_group_symop_operation_xyz
'x,y,z'
loop_
_atom_site_label
_atom_site_fract_x
_atom_site_fract_y
_atom_site_fract_z
Zr1 0.238 0.238 0.232
Zr2 0.762 0.762 0.768
Ta1 0.000 0.000 0.500
Se1 0.500 0.500 0.000
```

15.
DFT (PBE) results for Zr2TaSe after structural relaxation.

* formation energy (no corrections): -378.7 meV per atom
* uncorrected energy: -8.487 eV per atom
* space-group type: Cmmm

Structure (CIF):
```
data_Zr2TaSe
_chemical_formula_sum 'Zr2 Ta1 Se1'
_space_group_name_H-M_alt 'P 1'
_space_group_IT_number 1
_cell_length_a 3.189
_cell_length_b 3.189
_cell_length_c 8.326
_cell_angle_alpha 90.00
_cell_angle_beta 90.00
_cell_angle_gamma 105.68
loop_
_space_group_symop_operation_xyz
'x,y,z'
loop_
_atom_site_label
_atom_site_fract_x
_atom_site_fract_y
_atom_site_fract_z
Zr1 0.000 0.000 0.236
Zr2 0.000 0.000 0.764
Ta1 0.500 0.500 0.500
Se1 0.500 0.500 0.000
```

16.
DFT (PBE) results for ZrTa2Se after structural relaxation.

* formation energy (no corrections): -26.4 meV per atom
* uncorrected energy: -8.961 eV per atom
* space-group type: Imm2

Structure (CIF):
```
data_ZrTa2Se
_chemical_formula_sum 'Zr1 Ta2 Se1'
_space_group_name_H-M_alt 'P 1'
_space_group_IT_number 1
_cell_length_a 5.379
_cell_length_b 5.379
_cell_length_c 5.379
_cell_angle_alpha 142.23
_cell_angle_beta 125.77
_cell_angle_gamma 67.98
loop_
_space_group_symop_operation_xyz
'x,y,z'
loop_
_atom_site_label
_atom_site_fract_x
_atom_site_fract_y
_atom_site_fract_z
Zr1 0.000 0.000 0.000
Ta1 0.489 0.489 0.000
Ta2 0.734 0.234 0.500
Se1 0.255 0.755 0.500
```

17.
DFT (PBE) results for ZrTa2Se after structural relaxation.

* formation energy (no corrections): 12.2 meV per atom
* uncorrected energy: -8.922 eV per atom
* space-group type: Cmmm

Structure (CIF):
```
data_ZrTa2Se
_chemical_formula_sum 'Zr1 Ta2 Se1'
_space_group_name_H-M_alt 'P 1'
_space_group_IT_number 1
_cell_length_a 3.072
_cell_length_b 3.072
_cell_length_c 8.588
_cell_angle_alpha 90.00
_cell_angle_beta 90.00
_cell_angle_gamma 109.04
loop_
_space_group_symop_operation_xyz
'x,y,z'
loop_
_atom_site_label
_atom_site_fract_x
_atom_site_fract_y
_atom_site_fract_z
Zr1 0.000 0.000 0.000
Ta1 0.500 0.500 0.274
Ta2 0.500 0.500 0.726
Se1 0.000 0.000 0.500
```

18.
DFT (PBE) results for Zr2TaSe after structural relaxation.

* formation energy (no corrections): 266.6 meV per atom
* uncorrected energy: -7.842 eV per atom
* space-group type: I-42d

Structure (CIF):
```
data_Zr2TaSe
_chemical_formula_sum 'Zr4 Ta2 Se2'
_space_group_name_H-M_alt 'P 1'
_space_group_IT_number 1
_cell_length_a 10.337
_cell_length_b 10.337
_cell_length_c 10.337
_cell_angle_alpha 157.00
_cell_angle_beta 157.00
_cell_angle_gamma 32.75
loop_
_space_group_symop_operation_xyz
'x,y,z'
loop_
_atom_site_label
_atom_site_fract_x
_atom_site_fract_y
_atom_site_fract_z
Zr1 0.117 0.625 0.992
Zr2 0.375 0.367 0.492
Zr3 0.633 0.125 0.008
Zr4 0.875 0.883 0.508
Ta1 0.250 0.750 0.500
Ta2 0.500 0.500 0.000
Se1 0.000 0.000 0.000
Se2 0.750 0.250 0.500
```

19.
DFT (PBE) results for ZrTa2Se after structural relaxation.

* formation energy (no corrections): 78.2 meV per atom
* uncorrected energy: -8.856 eV per atom
* space-group type: Cmmm

Structure (CIF):
```
data_ZrTa2Se
_chemical_formula_sum 'Zr1 Ta2 Se1'
_space_group_name_H-M_alt 'P 1'
_space_group_IT_number 1
_cell_length_a 4.805
_cell_length_b 4.805
_cell_length_c 3.372
_cell_angle_alpha 90.00
_cell_angle_beta 90.00
_cell_angle_gamma 106.12
loop_
_space_group_symop_operation_xyz
'x,y,z'
loop_
_atom_site_label
_atom_site_fract_x
_atom_site_fract_y
_atom_site_fract_z
Zr1 0.000 0.000 0.000
Ta1 0.000 0.500 0.500
Ta2 0.500 0.000 0.500
Se1 0.500 0.500 0.000
```

20.
DFT (PBE) results for Zr2TaSe after structural relaxation.

* formation energy (no corrections): -175.8 meV per atom
* uncorrected energy: -8.284 eV per atom
* space-group type: Cmm2

Structure (CIF):
```
data_Zr2TaSe
_chemical_formula_sum 'Zr2 Ta1 Se1'
_space_group_name_H-M_alt 'P 1'
_space_group_IT_number 1
_cell_length_a 3.159
_cell_length_b 3.159
_cell_length_c 8.559
_cell_angle_alpha 90.00
_cell_angle_beta 90.00
_cell_angle_gamma 106.79
loop_
_space_group_symop_operation_xyz
'x,y,z'
loop_
_atom_site_label
_atom_site_fract_x
_atom_site_fract_y
_atom_site_fract_z
Zr1 0.000 0.000 0.000
Zr2 0.500 0.500 0.289
Ta1 0.500 0.500 0.739
Se1 0.000 0.000 0.520
```